The following is a GGA-PBE calculation of crystalline TaMnRu at its relaxed geometry, from Alexandria via LeMat-Bulk.

Calculated density, Mg/m³: 10.22
Volume, Å³ per cell: 218.9
Distance to the lowest polymorph of the same formula, eV/atom: 0.514
Total magnetic moment, μB/atom: 1.2512
Formation enthalpy at 0 K, eV/atom: 0.3796

Cell: 6.0269 6.0269 6.0269 Å, 90.00 90.00 90.00°
Space group F-43m (No. 216)
Unique sites:
Ta  0.0000  0.0000  0.0000 (multiplicity 4)
Mn  0.0000  0.0000  0.5000 (multiplicity 4)
Ru  0.2500  0.2500  0.2500 (multiplicity 4)